(1)
The following is a GGA-PBE calculation of a relaxed LiOsPd2 crystal, from OQMD via LeMat-Bulk.

- uncorrected energy (eV per cell) = -88.57

a = 6.1024 Å, b = 6.1024 Å, c = 6.1024 Å
α = 90.00°, β = 90.00°, γ = 90.00°
Space group F-43m (No. 216)
Inequivalent atoms, fractional coordinates:
Li (0.0000, 0.0000, 0.0000)
Os (0.2500, 0.2500, 0.2500)
Pd (0.0000, 0.0000, 0.5000)
Pd (0.2500, 0.2500, 0.7500)

=====

(2)
The following is a GGA-PBE calculation of a relaxed K2Co2SnS6 crystal, from OQMD via LeMat-Bulk.

- uncorrected energy (eV per cell) = -49.10

a = 6.7616 Å, b = 6.7616 Å, c = 7.1159 Å
α = 90.00°, β = 90.00°, γ = 120.00°
Space group P-3 (No. 147)
Inequivalent atoms, fractional coordinates:
K (0.3333, 0.6667, 0.1900)
Co (0.3333, 0.6667, 0.7014)
Sn (0.0000, 0.0000, 0.5000)
S (0.1611, 0.8364, 0.7564)

=====

(3)
The following is a GGA-PBE calculation of a relaxed Tl2Sb2Pt crystal, from OQMD via LeMat-Bulk.

- uncorrected energy (eV per cell) = -78.02

a = 6.3799 Å, b = 14.1893 Å, c = 6.5981 Å
α = 90.00°, β = 90.00°, γ = 90.00°
Space group Cmcm (No. 63)
Inequivalent atoms, fractional coordinates:
Tl (0.0000, 0.0954, 0.2500)
Tl (0.0000, 0.3193, 0.7500)
Sb (0.2432, 0.3950, 0.2500)
Pt (0.0000, 0.5000, 0.0000)

=====

(4)
The following is a GGA-PBE calculation of a relaxed LaGa5Fe crystal, from OQMD via LeMat-Bulk.

- uncorrected energy (eV per cell) = -30.92

a = 4.3351 Å, b = 4.3351 Å, c = 7.0426 Å
α = 90.00°, β = 90.00°, γ = 90.00°
Space group P4/mmm (No. 123)
Inequivalent atoms, fractional coordinates:
La (0.0000, 0.0000, 0.0000)
Ga (0.0000, 0.5000, 0.3193)
Ga (0.5000, 0.5000, 0.0000)
Fe (0.0000, 0.0000, 0.5000)

=====

(5)
The following is a GGA-PBE calculation of a relaxed Sc4Nb2Si3C3 crystal, from OQMD via LeMat-Bulk.

- uncorrected energy (eV per cell) = -388.53

a = 9.7743 Å, b = 5.6543 Å, c = 13.8299 Å
α = 90.00°, β = 103.92°, γ = 90.00°
Space group C2/c (No. 15)
Inequivalent atoms, fractional coordinates:
Sc (0.1159, 0.0767, 0.0978)
Sc (0.2136, 0.0872, 0.4022)
Nb (0.0593, 0.4133, 0.9190)
Si (0.0000, 0.1491, 0.7500)
Si (0.1337, 0.4504, 0.2490)
C (0.0811, 0.2569, 0.5002)
C (0.2500, 0.2500, 0.0000)

=====

(6)
The following is a GGA-PBE calculation of a relaxed YHoNb2Ge2 crystal, from OQMD via LeMat-Bulk.

- uncorrected energy (eV per cell) = -44.39

a = 4.0301 Å, b = 4.0301 Å, c = 7.8388 Å
α = 90.00°, β = 90.00°, γ = 90.00°
Space group P4mm (No. 99)
Inequivalent atoms, fractional coordinates:
Y (0.0000, 0.0000, 0.0000)
Ho (0.5000, 0.5000, 0.7049)
Nb (0.0000, 0.5000, 0.3529)
Ge (0.0000, 0.0000, 0.6000)
Ge (0.5000, 0.5000, 0.1056)

=====

(7)
The following is a GGA-PBE calculation of a relaxed Pr5YTe6 crystal, from OQMD via LeMat-Bulk.

- uncorrected energy (eV per cell) = -132.47

a = 7.8032 Å, b = 13.5321 Å, c = 7.7837 Å
α = 90.00°, β = 109.51°, γ = 90.00°
Space group C2/m (No. 12)
Inequivalent atoms, fractional coordinates:
Pr (0.0000, 0.0000, 0.0000)
Pr (0.0000, 0.1675, 0.5000)
Pr (0.0000, 0.3251, 0.0000)
Y (0.0000, 0.5000, 0.5000)
Te (0.2401, 0.5000, 0.2502)
Te (0.2426, 0.3385, 0.7432)

=====

(8)
The following is a GGA-PBE calculation of a relaxed Rb3ErI6 crystal, from OQMD via LeMat-Bulk.

- energy above the most stable polymorph in this dataset (kJ per mole of atoms) = 0.0

a = 8.6765 Å, b = 9.2748 Å, c = 15.0345 Å
α = 90.00°, β = 124.23°, γ = 90.00°
Space group P2_1/c (No. 14)
Inequivalent atoms, fractional coordinates:
Rb (0.0000, 0.0000, 0.0000)
Rb (0.2109, 0.0844, 0.7455)
Er (0.5000, 0.0000, 0.5000)
I (0.1615, 0.1738, 0.4430)
I (0.2678, 0.7261, 0.4275)
I (0.4062, 0.0476, 0.2759)

=====

(9)
The following is a GGA-PBE calculation of a relaxed FeAgSnMo crystal, from OQMD via LeMat-Bulk.

- energy above the most stable polymorph in this dataset (kJ per mole of atoms) = 0.0

a = 6.4424 Å, b = 6.4424 Å, c = 6.4424 Å
α = 90.00°, β = 90.00°, γ = 90.00°
Space group F-43m (No. 216)
Inequivalent atoms, fractional coordinates:
Fe (0.0000, 0.0000, 0.0000)
Ag (0.2500, 0.2500, 0.2500)
Sn (0.2500, 0.2500, 0.7500)
Mo (0.0000, 0.0000, 0.5000)

=====

(10)
The following is a GGA-PBE calculation of a relaxed TlCuGePt crystal, from OQMD via LeMat-Bulk.

- energy above the most stable polymorph in this dataset (kJ per mole of atoms) = 0.0

a = 6.5966 Å, b = 6.5966 Å, c = 6.5966 Å
α = 90.00°, β = 90.00°, γ = 90.00°
Space group F-43m (No. 216)
Inequivalent atoms, fractional coordinates:
Tl (0.0000, 0.0000, 0.0000)
Cu (0.2500, 0.2500, 0.2500)
Ge (0.0000, 0.0000, 0.5000)
Pt (0.2500, 0.2500, 0.7500)

=====

(11)
The following is a GGA-PBE calculation of a relaxed NdTmAlSe3 crystal, from OQMD via LeMat-Bulk.

- uncorrected energy (eV per cell) = -123.35

a = 3.9690 Å, b = 14.5637 Å, c = 9.8106 Å
α = 90.00°, β = 90.00°, γ = 90.00°
Space group Cmcm (No. 63)
Inequivalent atoms, fractional coordinates:
Nd (0.0000, 0.2235, 0.2500)
Tm (0.0000, 0.0000, 0.0000)
Al (0.0000, 0.4747, 0.7500)
Se (0.0000, 0.1198, 0.7500)
Se (0.0000, 0.3553, 0.5471)

=====

(12)
The following is a GGA-PBE calculation of a relaxed KFeHgTe3 crystal, from OQMD via LeMat-Bulk.

- uncorrected energy (eV per cell) = -40.81

a = 9.6178 Å, b = 4.5089 Å, c = 9.6517 Å
α = 90.00°, β = 119.25°, γ = 90.00°
Space group P2_1/m (No. 11)
Inequivalent atoms, fractional coordinates:
K (0.2238, 0.2500, 0.1917)
Fe (0.3250, 0.2500, 0.8152)
Hg (0.2067, 0.7500, 0.5952)
Te (0.0239, 0.2500, 0.7333)
Te (0.3637, 0.7500, 0.9784)
Te (0.4363, 0.2500, 0.6212)

=====

(13)
The following is a GGA-PBE calculation of a relaxed ScTcPd crystal, from OQMD via LeMat-Bulk.

- energy above the most stable polymorph in this dataset (kJ per mole of atoms) = 0.0

a = 6.1543 Å, b = 6.1543 Å, c = 6.1543 Å
α = 90.00°, β = 90.00°, γ = 90.00°
Space group F-43m (No. 216)
Inequivalent atoms, fractional coordinates:
Sc (0.0000, 0.0000, 0.0000)
Tc (0.0000, 0.0000, 0.5000)
Pd (0.2500, 0.2500, 0.2500)

=====

(14)
The following is a GGA-PBE calculation of a relaxed La2Sm2CCl5 crystal, from OQMD via LeMat-Bulk.

- energy above the most stable polymorph in this dataset (kJ per mole of atoms) = 0.4

a = 17.7128 Å, b = 3.9211 Å, c = 8.3278 Å
α = 90.00°, β = 103.87°, γ = 90.00°
Space group C2/m (No. 12)
Inequivalent atoms, fractional coordinates:
La (0.0018, 0.0000, 0.2848)
Sm (0.1442, 0.5000, 0.5810)
C (0.0000, 0.5000, 0.5000)
Cl (0.0000, 0.5000, 0.0000)
Cl (0.1678, 0.0000, 0.8257)
Cl (0.1745, 0.0000, 0.3573)

=====

(15)
The following is a GGA-PBE calculation of a relaxed Ga2IrPd crystal, from OQMD via LeMat-Bulk.

- uncorrected energy (eV per cell) = -81.86

a = 6.2388 Å, b = 6.2388 Å, c = 6.2388 Å
α = 90.00°, β = 90.00°, γ = 90.00°
Space group F-43m (No. 216)
Inequivalent atoms, fractional coordinates:
Ga (0.0000, 0.0000, 0.0000)
Ga (0.2500, 0.2500, 0.2500)
Ir (0.2500, 0.2500, 0.7500)
Pd (0.0000, 0.0000, 0.5000)

=====

(16)
The following is a GGA-PBE calculation of a relaxed HgIr2O4 crystal, from OQMD via LeMat-Bulk.

- energy above the most stable polymorph in this dataset (kJ per mole of atoms) = 0.0

a = 14.1441 Å, b = 3.1170 Å, c = 11.2937 Å
α = 90.00°, β = 128.16°, γ = 90.00°
Space group C2/m (No. 12)
Inequivalent atoms, fractional coordinates:
Hg (0.1252, 0.0000, 0.0846)
Ir (0.1345, 0.0000, 0.7638)
Ir (0.1525, 0.5000, 0.4963)
O (0.0490, 0.0000, 0.3725)
O (0.1230, 0.5000, 0.6440)
O (0.1446, 0.5000, 0.8783)
O (0.2290, 0.5000, 0.3925)

=====

(17)
The following is a GGA-PBE calculation of a relaxed PuNiHg crystal, from OQMD via LeMat-Bulk.

- uncorrected energy (eV per cell) = -80.33

a = 6.3644 Å, b = 6.3644 Å, c = 6.3644 Å
α = 90.00°, β = 90.00°, γ = 90.00°
Space group F-43m (No. 216)
Inequivalent atoms, fractional coordinates:
Pu (0.0000, 0.0000, 0.0000)
Ni (0.2500, 0.2500, 0.2500)
Hg (0.0000, 0.0000, 0.5000)

=====

(18)
The following is a GGA-PBE calculation of a relaxed CdSbO3 crystal, from OQMD via LeMat-Bulk.

- uncorrected energy (eV per cell) = -153.85

a = 5.6590 Å, b = 5.6590 Å, c = 14.3085 Å
α = 90.00°, β = 90.00°, γ = 120.00°
Space group R-3c (No. 167, hexagonal axes)
Inequivalent atoms, fractional coordinates:
Cd (0.0000, 0.0000, 0.2500)
Sb (0.0000, 0.0000, 0.0000)
O (0.0000, 0.3873, 0.2500)

=====

(19)
The following is a GGA-PBE calculation of a relaxed HfInCuSe3 crystal, from OQMD via LeMat-Bulk.

- uncorrected energy (eV per cell) = -123.79

a = 17.2751 Å, b = 3.7935 Å, c = 8.5658 Å
α = 90.00°, β = 99.27°, γ = 90.00°
Space group C2/m (No. 12)
Inequivalent atoms, fractional coordinates:
Hf (0.1636, 0.0000, 0.0845)
In (0.1279, 0.0000, 0.5726)
Cu (0.0427, 0.5000, 0.2100)
Se (0.0000, 0.0000, 0.0000)
Se (0.0000, 0.5000, 0.5000)
Se (0.1759, 0.5000, 0.8664)
Se (0.1812, 0.5000, 0.3067)

=====

(20)
The following is a GGA-PBE calculation of a relaxed TbInAu crystal, from OQMD via LeMat-Bulk.

- uncorrected energy (eV per cell) = -25.31

a = 4.7916 Å, b = 4.7916 Å, c = 7.0492 Å
α = 90.00°, β = 90.00°, γ = 120.00°
Space group P6_3mc (No. 186)
Inequivalent atoms, fractional coordinates:
Tb (0.0000, 0.0000, 0.0000)
In (0.3333, 0.6667, 0.2359)
Au (0.3333, 0.6667, 0.7827)

=====

(21)
The following is a GGA-PBE calculation of a relaxed TbYPt2 crystal, from OQMD via LeMat-Bulk.

- uncorrected energy (eV per cell) = -56.46

a = 4.5172 Å, b = 3.7448 Å, c = 10.5424 Å
α = 90.00°, β = 90.00°, γ = 90.00°
Space group Amm2 (No. 38)
Inequivalent atoms, fractional coordinates:
Tb (0.0000, 0.0000, 0.0000)
Y (0.5000, 0.0000, 0.2767)
Pt (0.0000, 0.0000, 0.7257)
Pt (0.5000, 0.0000, 0.5504)

=====

(22)
The following is a GGA-PBE calculation of a relaxed Gd2Cd3Ga3 crystal, from OQMD via LeMat-Bulk.

- energy above the most stable polymorph in this dataset (kJ per mole of atoms) = 0.0

a = 6.2561 Å, b = 4.7796 Å, c = 6.5900 Å
α = 90.00°, β = 117.06°, γ = 90.00°
Space group Pm (No. 6)
Inequivalent atoms, fractional coordinates:
Gd (0.0000, 0.0000, 0.0000)
Gd (0.3457, 0.5000, 0.7172)
Cd (0.4987, 0.0000, 0.4986)
Cd (0.8307, 0.5000, 0.2069)
Cd (0.9879, 0.0000, 0.5029)
Ga (0.3459, 0.5000, 0.2055)
Ga (0.5131, 0.0000, 0.0370)
Ga (0.8201, 0.5000, 0.6690)

=====

(23)
The following is a GGA-PBE calculation of a relaxed NaAlTe3Pd crystal, from OQMD via LeMat-Bulk.

- uncorrected energy (eV per cell) = -44.79

a = 8.3976 Å, b = 4.0680 Å, c = 10.0681 Å
α = 90.00°, β = 111.36°, γ = 90.00°
Space group P2_1/m (No. 11)
Inequivalent atoms, fractional coordinates:
Na (0.0120, 0.2500, 0.2803)
Al (0.4274, 0.2500, 0.1414)
Te (0.1722, 0.7500, 0.1061)
Te (0.3133, 0.2500, 0.8466)
Te (0.3245, 0.7500, 0.5094)
Pd (0.4879, 0.7500, 0.3160)